(1)
This record from Alexandria via LeMat-Bulk describes a geometry-optimized LiYPbF6 structure. The functional is GGA-PBE.

Values from the calculation:
space-group type = No. 163
calculated total energy = -5.83 eV per atom
formation energy from raw total energies = -3239 meV/atom
total magnetization = 0.00 μB per formula unit

```
LiYPbF6
1.0
-1.276 -3.576 -4.136
-1.675 -1.069 5.252
-9.057 5.318 -1.805
Li Y Pb F
2 2 2 12
Direct
0.667 0.333 0.250
0.333 0.667 0.750
0.333 0.667 0.250
0.667 0.333 0.750
0.000 0.000 0.000
0.000 0.000 0.500
0.649 0.637 0.141
0.988 0.351 0.141
0.351 0.988 0.641
0.012 0.649 0.859
0.363 0.351 0.359
0.988 0.637 0.359
0.637 0.988 0.859
0.649 0.012 0.359
0.012 0.363 0.641
0.363 0.012 0.141
0.637 0.649 0.641
0.351 0.363 0.859
```

=====

(2)
This record from Alexandria via LeMat-Bulk describes a geometry-optimized LiY2PbF structure. The functional is GGA-PBE.

Values from the calculation:
space-group type = No. 123
calculated total energy = -5.29 eV per atom
formation energy from raw total energies = -1208 meV/atom
total magnetization = 0.00 μB per formula unit

```
LiY2PbF
1.0
-2.340 3.020 -3.232
-2.599 -3.897 -1.760
-3.013 0.720 2.854
Pb Y Li F
1 2 1 1
Direct
0.500 0.500 0.500
0.000 0.500 0.000
0.500 0.000 0.000
0.000 0.000 0.500
0.000 0.000 0.000
```

=====

(3)
This record from Alexandria via LeMat-Bulk describes a geometry-optimized Li2ZnPbF8 structure. The functional is GGA-PBE.

Values from the calculation:
space-group type = No. 10
calculated total energy = -4.34 eV per atom
formation energy from raw total energies = -2359 meV/atom
total magnetization = 0.00 μB per formula unit

```
Li2ZnPbF8
1.0
-2.524 -3.427 2.183
3.586 -0.415 3.129
-2.857 4.577 3.882
Li Zn Pb F
2 1 1 8
Direct
0.500 0.500 0.785
0.500 0.500 0.215
0.000 0.000 0.000
0.000 0.000 0.500
0.199 0.799 0.255
0.708 0.709 0.000
0.801 0.201 0.255
0.801 0.201 0.745
0.292 0.291 0.000
0.199 0.799 0.745
0.688 0.690 0.500
0.312 0.310 0.500
```

=====

(4)
This record from Alexandria via LeMat-Bulk describes a geometry-optimized Li2ZnPbF6 structure. The functional is GGA-PBE.

Values from the calculation:
space-group type = No. 146
calculated total energy = -4.55 eV per atom
formation energy from raw total energies = -2551 meV/atom
total magnetization = 0.00 μB per formula unit

```
Li2ZnPbF6
1.0
-4.775 0.897 -2.455
-1.421 -2.947 -4.350
-4.171 -3.951 0.633
Li Zn Pb F
2 1 1 6
Direct
0.523 0.523 0.430
0.017 0.017 0.949
0.315 0.315 0.055
0.796 0.796 0.613
0.601 0.251 0.235
0.251 0.913 0.235
0.913 0.601 0.235
0.329 0.730 0.755
0.730 0.186 0.755
0.186 0.330 0.755
```